Entry 1:
Compound: LaOsPt2
Source: Alexandria via LeMat-Bulk
Functional: GGA-PBE
Structure: relaxed

```
data_LaOsPt2
_chemical_formula_sum 'La1 Os1 Pt2'
_cell_length_a 3.543
_cell_length_b 3.543
_cell_length_c 6.333
_cell_angle_alpha 90.00
_cell_angle_beta 90.00
_cell_angle_gamma 90.00
_space_group_name_H-M_alt 'P 1'
_space_group_IT_number 1
_space_group_name_Hall 'P 1'
loop_
_atom_site_label
_atom_site_type_symbol
_atom_site_fract_x
_atom_site_fract_y
_atom_site_fract_z
_atom_site_occupancy
La1 La 0.000 0.000 0.000 1
Os1 Os 0.500 0.500 0.324 1
Pt1 Pt 0.000 0.000 0.472 1
Pt2 Pt 0.500 0.500 0.741 1
```

Results
The value obtained for the energy of formation from the pure elements is -0.03 eV/atom. Its space-group type is No. 99. As for the raw total energy: -7.0875 eV/atom. The calculation puts the magnetic moment at 0.1925 μB per atom.


Entry 2:
Compound: AlTlNiCl6
Source: Alexandria via LeMat-Bulk
Functional: GGA-PBE
Structure: relaxed

```
data_AlTlNiCl6
_chemical_formula_sum 'Al1 Tl1 Ni1 Cl6'
_cell_length_a 6.200
_cell_length_b 6.200
_cell_length_c 7.258
_cell_angle_alpha 90.00
_cell_angle_beta 90.00
_cell_angle_gamma 120.00
_space_group_name_H-M_alt 'P 1'
_space_group_IT_number 1
_space_group_name_Hall 'P 1'
loop_
_atom_site_label
_atom_site_type_symbol
_atom_site_fract_x
_atom_site_fract_y
_atom_site_fract_z
_atom_site_occupancy
Al1 Al 0.000 0.000 0.000 1
Tl1 Tl 0.333 0.667 0.500 1
Ni1 Ni 0.667 0.333 0.000 1
Cl1 Cl 0.326 0.033 0.185 1
Cl2 Cl 0.326 0.293 0.815 1
Cl3 Cl 0.707 0.033 0.815 1
Cl4 Cl 0.707 0.674 0.185 1
Cl5 Cl 0.967 0.293 0.185 1
Cl6 Cl 0.967 0.674 0.815 1
```

Results
Its space-group type is No. 149. As for the raw total energy: -3.6439 eV/atom. The raw formation energy is -1.092 eV per atom. The calculation puts the magnetic moment at 0.2197 μB per atom.


Entry 3:
Compound: LaZn2Co
Source: Alexandria via LeMat-Bulk
Functional: GGA-PBE
Structure: relaxed

```
data_LaZn2Co
_chemical_formula_sum 'La1 Zn2 Co1'
_cell_length_a 5.210
_cell_length_b 5.210
_cell_length_c 5.210
_cell_angle_alpha 132.49
_cell_angle_beta 132.49
_cell_angle_gamma 69.45
_space_group_name_H-M_alt 'P 1'
_space_group_IT_number 1
_space_group_name_Hall 'P 1'
loop_
_atom_site_label
_atom_site_type_symbol
_atom_site_fract_x
_atom_site_fract_y
_atom_site_fract_z
_atom_site_occupancy
La1 La 0.000 0.000 0.000 1
Zn1 Zn 0.250 0.750 0.500 1
Zn2 Zn 0.750 0.250 0.500 1
Co1 Co 0.500 0.500 0.000 1
```

Results
The value obtained for the energy of formation from the pure elements is 0.02 eV/atom. Its space-group type is No. 139. As for the raw total energy: -3.6241 eV/atom. The calculation puts the magnetic moment at 0.1172 μB per atom.


Entry 4:
Compound: TaCu3F
Source: Alexandria via LeMat-Bulk
Functional: GGA-PBE
Structure: relaxed

```
data_TaCu3F
_chemical_formula_sum 'Ta1 Cu3 F1'
_cell_length_a 4.139
_cell_length_b 4.139
_cell_length_c 4.139
_cell_angle_alpha 90.00
_cell_angle_beta 90.00
_cell_angle_gamma 90.00
_space_group_name_H-M_alt 'P 1'
_space_group_IT_number 1
_space_group_name_Hall 'P 1'
loop_
_atom_site_label
_atom_site_type_symbol
_atom_site_fract_x
_atom_site_fract_y
_atom_site_fract_z
_atom_site_occupancy
Ta1 Ta 0.000 0.000 0.000 1
Cu1 Cu 0.000 0.500 0.500 1
Cu2 Cu 0.500 0.000 0.500 1
Cu3 Cu 0.500 0.500 0.000 1
F1 F 0.500 0.500 0.500 1
```

Results
Its space-group type is No. 221. As for the raw total energy: -4.6651 eV/atom. The raw formation energy is 0.537 eV per atom. The calculation puts the magnetic moment at 0.5829 μB per atom.


Entry 5:
Compound: TlAg2Ru
Source: Alexandria via LeMat-Bulk
Functional: GGA-PBE
Structure: relaxed

```
data_TlAg2Ru
_chemical_formula_sum 'Tl2 Ag4 Ru2'
_cell_length_a 10.652
_cell_length_b 10.652
_cell_length_c 10.652
_cell_angle_alpha 158.76
_cell_angle_beta 158.76
_cell_angle_gamma 30.21
_space_group_name_H-M_alt 'P 1'
_space_group_IT_number 1
_space_group_name_Hall 'P 1'
loop_
_atom_site_label
_atom_site_type_symbol
_atom_site_fract_x
_atom_site_fract_y
_atom_site_fract_z
_atom_site_occupancy
Tl1 Tl 0.000 0.000 0.000 1
Tl2 Tl 0.750 0.250 0.500 1
Ag1 Ag 0.133 0.625 0.008 1
Ag2 Ag 0.375 0.383 0.508 1
Ag3 Ag 0.617 0.125 0.992 1
Ag4 Ag 0.875 0.867 0.492 1
Ru1 Ru 0.250 0.750 0.500 1
Ru2 Ru 0.500 0.500 0.000 1
```

Results
The value obtained for the energy of formation from the pure elements is 0.61 eV/atom. Its space-group type is No. 122. As for the raw total energy: -3.7223 eV/atom. The calculation puts the magnetic moment at 0.2169 μB per atom.


Entry 6:
Compound: Rb2BaTiRh
Source: Alexandria via LeMat-Bulk
Functional: GGA-PBE
Structure: relaxed

```
data_Rb2BaTiRh
_chemical_formula_sum 'Rb2 Ba1 Ti1 Rh1'
_cell_length_a 6.885
_cell_length_b 6.885
_cell_length_c 4.608
_cell_angle_alpha 90.00
_cell_angle_beta 90.00
_cell_angle_gamma 90.00
_space_group_name_H-M_alt 'P 1'
_space_group_IT_number 1
_space_group_name_Hall 'P 1'
loop_
_atom_site_label
_atom_site_type_symbol
_atom_site_fract_x
_atom_site_fract_y
_atom_site_fract_z
_atom_site_occupancy
Rb1 Rb 0.000 0.500 0.000 1
Rb2 Rb 0.500 0.000 0.000 1
Ba1 Ba 0.000 0.000 0.500 1
Ti1 Ti 0.500 0.500 0.500 1
Rh1 Rh 0.500 0.500 0.000 1
```

Results
The value obtained for the energy of formation from the pure elements is 0.63 eV/atom. Its space-group type is No. 123. As for the raw total energy: -3.1876 eV/atom. The calculation puts the magnetic moment at 0.0325 μB per atom.


Entry 7:
Compound: Sc2MoIr
Source: Alexandria via LeMat-Bulk
Functional: GGA-PBE
Structure: relaxed

```
data_Sc2MoIr
_chemical_formula_sum 'Sc2 Mo1 Ir1'
_cell_length_a 9.137
_cell_length_b 9.137
_cell_length_c 9.137
_cell_angle_alpha 19.12
_cell_angle_beta 19.12
_cell_angle_gamma 19.12
_space_group_name_H-M_alt 'P 1'
_space_group_IT_number 1
_space_group_name_Hall 'P 1'
loop_
_atom_site_label
_atom_site_type_symbol
_atom_site_fract_x
_atom_site_fract_y
_atom_site_fract_z
_atom_site_occupancy
Sc1 Sc 0.246 0.246 0.246 1
Sc2 Sc 0.754 0.754 0.754 1
Mo1 Mo 0.000 0.000 0.000 1
Ir1 Ir 0.500 0.500 0.500 1
```

Results
The value obtained for the energy of formation from the pure elements is -0.08 eV/atom. Its space-group type is No. 166. As for the raw total energy: -8.1729 eV/atom. The calculation puts the magnetic moment at 0.0000 μB per atom.


Entry 8:
Compound: KBaSc
Source: Alexandria via LeMat-Bulk
Functional: GGA-PBE
Structure: relaxed

```
data_KBaSc
_chemical_formula_sum 'K1 Ba1 Sc1'
_cell_length_a 10.450
_cell_length_b 10.234
_cell_length_c 3.784
_cell_angle_alpha 82.69
_cell_angle_beta 76.26
_cell_angle_gamma 21.05
_space_group_name_H-M_alt 'P 1'
_space_group_IT_number 1
_space_group_name_Hall 'P 1'
loop_
_atom_site_label
_atom_site_type_symbol
_atom_site_fract_x
_atom_site_fract_y
_atom_site_fract_z
_atom_site_occupancy
K1 K 0.000 0.000 0.000 1
Ba1 Ba 0.698 0.698 0.302 1
Sc1 Sc 0.338 0.338 0.662 1
```

Results
The value obtained for the energy of formation from the pure elements is 0.47 eV/atom. Its space-group type is No. 42. As for the raw total energy: -2.6467 eV/atom. The calculation puts the magnetic moment at 0.0014 μB per atom.


Question: Number 3 is which compound?
Answer: LaZn2Co


Question: Which of these has the lowest raw total energy?
Answer: Sc2MoIr


What did the fifth record say?
Compound: TlAg2Ru
Source: Alexandria via LeMat-Bulk
Functional: GGA-PBE
Structure: relaxed

```
data_TlAg2Ru
_chemical_formula_sum 'Tl2 Ag4 Ru2'
_cell_length_a 10.652
_cell_length_b 10.652
_cell_length_c 10.652
_cell_angle_alpha 158.76
_cell_angle_beta 158.76
_cell_angle_gamma 30.21
_space_group_name_H-M_alt 'P 1'
_space_group_IT_number 1
_space_group_name_Hall 'P 1'
loop_
_atom_site_label
_atom_site_type_symbol
_atom_site_fract_x
_atom_site_fract_y
_atom_site_fract_z
_atom_site_occupancy
Tl1 Tl 0.000 0.000 0.000 1
Tl2 Tl 0.750 0.250 0.500 1
Ag1 Ag 0.133 0.625 0.008 1
Ag2 Ag 0.375 0.383 0.508 1
Ag3 Ag 0.617 0.125 0.992 1
Ag4 Ag 0.875 0.867 0.492 1
Ru1 Ru 0.250 0.750 0.500 1
Ru2 Ru 0.500 0.500 0.000 1
```

Results
The value obtained for the energy of formation from the pure elements is 0.61 eV/atom. Its space-group type is No. 122. As for the raw total energy: -3.7223 eV/atom. The calculation puts the magnetic moment at 0.2169 μB per atom.